Entry 1:
InTcW2 (PBE, relaxed); energy of formation from the pure elements = 0.674 eV per atom; SG = Fm-3m; calculated total energy = -36.316 eV for the cell shown; size of the total moment = 0.00 Bohr magnetons per cell; energy above the lowest structure with this stoichiometry = 0.385 eV per atom
1.0
-2.720 -3.542 -0.923
-3.216 -1.243 2.984
-4.401 0.697 -0.969
W In Tc
2 1 1
direct
0.750 0.750 0.750 W
0.250 0.250 0.250 W
0.500 0.500 0.500 In
0.000 0.000 0.000 Tc

=====

Entry 2:
La2YPd4 (PBE, relaxed); energy of formation from the pure elements = -0.351 eV per atom; SG = Fmmm; calculated total energy = -39.544 eV for the cell shown; size of the total moment = 0.00 Bohr magnetons per cell
1.0
4.983 -0.804 -1.142
-1.185 4.906 -1.141
0.083 0.091 8.287
Pd La Y
4 2 1
direct
0.180 0.180 0.360 Pd
0.000 0.500 0.000 Pd
0.820 0.820 0.640 Pd
0.500 0.000 0.000 Pd
0.640 0.640 0.279 La
0.360 0.360 0.721 La
0.000 0.000 0.000 Y

=====

Entry 3:
AcCd5Hg6 (PBE, relaxed); energy of formation from the pure elements = -0.112 eV per atom; SG = C2/m; calculated total energy = -11.840 eV for the cell shown; size of the total moment = 0.00 Bohr magnetons per cell; energy above the lowest structure with this stoichiometry = 0.009 eV per atom
1.0
8.634 -0.175 0.000
2.423 5.613 0.000
1.211 2.807 6.368
Hg Cd Ac
6 5 1
direct
0.295 0.513 0.372 Hg
0.790 0.645 0.000 Hg
0.705 0.115 0.372 Hg
0.705 0.487 0.628 Hg
0.295 0.885 0.628 Hg
0.210 0.355 0.000 Hg
0.000 0.699 0.603 Cd
0.500 0.500 0.000 Cd
0.000 0.301 0.397 Cd
0.500 0.879 0.241 Cd
0.500 0.121 0.759 Cd
0.000 0.000 0.000 Ac